No. 1
BaNa2AsS4 | PBE-GGA | relaxed

M_tot in μB/cell: 0.003
Formation energy from raw total energies in meV/atom: -962
Space group: I-42m, No. 121

a b c (Å): 6.5174 6.5174 6.5174
angles (deg): 112.30 112.30 103.95
Atoms (fractional coordinates):
Ba (0.0000, 0.0000, 0.0000)
Na (0.2500, 0.7500, 0.5000)
Na (0.7500, 0.2500, 0.5000)
As (0.5000, 0.5000, 0.0000)
S (0.1475, 0.1475, 0.6234)
S (0.4759, 0.8525, 0.0000)
S (0.5241, 0.5241, 0.3766)
S (0.8525, 0.4759, 0.0000)

=====

No. 2
Sr2GaPt | PBE-GGA | relaxed

Formation energy from the elements in eV per atom: -0.232
M_tot in μB/cell: 0.000
Space group: I-42d, No. 122

a b c (Å): 6.9113 6.9113 6.9113
angles (deg): 105.22 105.22 118.35
Atoms (fractional coordinates):
Sr (0.0918, 0.6250, 0.9668)
Sr (0.3750, 0.3418, 0.4668)
Sr (0.6582, 0.1250, 0.0332)
Sr (0.8750, 0.9082, 0.5332)
Ga (0.2500, 0.7500, 0.5000)
Ga (0.5000, 0.5000, 0.0000)
Pt (0.0000, 0.0000, 0.0000)
Pt (0.7500, 0.2500, 0.5000)

=====

What did the second record say?
Sr2GaPt | PBE-GGA | relaxed

Formation energy from the elements in eV per atom: -0.232
M_tot in μB/cell: 0.000
Space group: I-42d, No. 122

a b c (Å): 6.9113 6.9113 6.9113
angles (deg): 105.22 105.22 118.35
Atoms (fractional coordinates):
Sr (0.0918, 0.6250, 0.9668)
Sr (0.3750, 0.3418, 0.4668)
Sr (0.6582, 0.1250, 0.0332)
Sr (0.8750, 0.9082, 0.5332)
Ga (0.2500, 0.7500, 0.5000)
Ga (0.5000, 0.5000, 0.0000)
Pt (0.0000, 0.0000, 0.0000)
Pt (0.7500, 0.2500, 0.5000)

=====

Copy entry 1 word for word.
BaNa2AsS4 | PBE-GGA | relaxed

M_tot in μB/cell: 0.003
Formation energy from raw total energies in meV/atom: -962
Space group: I-42m, No. 121

a b c (Å): 6.5174 6.5174 6.5174
angles (deg): 112.30 112.30 103.95
Atoms (fractional coordinates):
Ba (0.0000, 0.0000, 0.0000)
Na (0.2500, 0.7500, 0.5000)
Na (0.7500, 0.2500, 0.5000)
As (0.5000, 0.5000, 0.0000)
S (0.1475, 0.1475, 0.6234)
S (0.4759, 0.8525, 0.0000)
S (0.5241, 0.5241, 0.3766)
S (0.8525, 0.4759, 0.0000)